Tc2Pb after structural relaxation, computed with PBE-GGA.

abc: 10.339 3.048 7.038
angles: 90.00 106.98 90.00
Space group C2/m (No. 12)
Symmetry-distinct sites (fractional):
Tc: 0.165 0.000 0.045
Tc: 0.208 0.000 0.641
Pb: 0.011 0.500 0.278

Output
E_tot = -7.6616 eV per atom
energy relative to the elements = 0.485 eV per atom
distance to the lowest polymorph of the same formula = 122 meV per atom
Fermi-level density of states = 0.640 states/eV/atom
V = 17.68 Å³/atom
M_tot = 0.00 μB/f.u.